# 1
NaHgI | GGA-PBE | optimized geometry

Cell lengths 4.414, 4.414, 14.475 Å; angles 90.00, 90.00, 90.00 degrees
Positions (direct):
Na 0.000 0.000 0.000
Na 0.500 0.500 0.500
Hg 0.000 0.000 0.774
Hg 0.500 0.500 0.274
I 0.000 0.000 0.516
I 0.500 0.500 0.016

Results
The value obtained for the electronic total energy is -5.36 eV/f.u. The spin magnetization is 0.00 μB per cell. The distance to the lowest polymorph of the same formula comes out at 0.048 eV per atom. As for the uncorrected formation energy: -729 meV per atom. The calculation puts the density at 4.1 g cm⁻³.



# 2
Sr2ZnAs4Ir3 | GGA-PBE | optimized geometry

Cell lengths 4.420, 4.420, 10.114 Å; angles 90.00, 90.00, 90.00 degrees
Positions (direct):
Sr 0.000 0.500 0.247
Sr 0.500 0.000 0.753
Zn 0.000 0.000 0.500
As 0.000 0.000 0.000
As 0.000 0.500 0.638
As 0.500 0.000 0.362
As 0.500 0.500 0.000
Ir 0.000 0.500 0.886
Ir 0.500 0.000 0.114
Ir 0.500 0.500 0.500

Results
The value obtained for the electronic total energy is -55.20 eV/f.u. The spin magnetization is 0.00 μB per cell. The calculation puts the formation energy at -0.539 eV/atom. The calculation puts the density at 9.4 g cm⁻³.



# 3
BaBeHg2 | GGA-PBE | optimized geometry

Cell lengths 7.728, 4.495, 6.837 Å; angles 90.00, 112.20, 90.00 degrees
Positions (direct):
Ba 0.000 0.000 0.000
Ba 0.500 0.500 0.000
Be 0.314 0.500 0.434
Be 0.814 0.000 0.434
Hg 0.209 0.000 0.625
Hg 0.461 0.000 0.377
Hg 0.709 0.500 0.625
Hg 0.961 0.500 0.377

Results
The value obtained for the electronic total energy is -6.37 eV/f.u. The spin magnetization is 0.00 μB per cell. The calculation puts the formation energy at -0.030 eV/atom. The calculation puts the density at 8.3 g cm⁻³.



# 4
Cs2Hg2H4Ir | GGA-PBE | optimized geometry

Cell lengths 6.501, 6.501, 6.501 Å; angles 112.47, 112.47, 103.63 degrees
Positions (direct):
Cs 0.250 0.750 0.500
Cs 0.750 0.250 0.500
Hg 0.175 0.175 0.000
Hg 0.825 0.825 0.000
H 0.334 0.334 0.667
H 0.334 0.666 0.000
H 0.666 0.334 0.000
H 0.666 0.666 0.333
Ir 0.500 0.500 0.000

Results
The value obtained for the electronic total energy is -26.39 eV/f.u. The spin magnetization is 0.00 μB per cell. The calculation puts the density at 6.8 g cm⁻³.



# 5
ZnIrAu2 | GGA-PBE | optimized geometry

Cell lengths 2.842, 3.959, 5.761 Å; angles 90.00, 90.79, 90.00 degrees
Positions (direct):
Zn 0.000 0.000 0.000
Ir 0.000 0.000 0.500
Au 0.496 0.500 0.246
Au 0.504 0.500 0.754

Results
The value obtained for the electronic total energy is -16.07 eV/f.u. The spin magnetization is 0.00 μB per cell. The calculation puts the formation energy at 0.155 eV/atom. The calculation puts the density at 16.7 g cm⁻³.



# 6
PmAg4 | GGA-PBE | optimized geometry

Cell lengths 5.574, 5.574, 5.574 Å; angles 90.00, 90.00, 90.00 degrees
Positions (direct):
Pm 0.000 0.000 0.000
Ag 0.000 0.000 0.500
Ag 0.000 0.500 0.000
Ag 0.500 0.000 0.000
Ag 0.500 0.500 0.500

Results
The value obtained for the electronic total energy is -10.94 eV/f.u. The spin magnetization is 0.00 μB per cell. The distance to the lowest polymorph of the same formula comes out at 1.203 eV per atom. The calculation puts the formation energy at 1.044 eV/atom. The calculation puts the density at 5.5 g cm⁻³.



# 7
SrCa2 | GGA-PBE | optimized geometry

Cell lengths 7.437, 7.437, 23.964 Å; angles 90.00, 90.00, 120.00 degrees
Positions (direct):
Sr 0.000 0.000 0.094
Sr 0.000 0.000 0.406
Sr 0.000 0.000 0.594
Sr 0.000 0.000 0.906
Sr 0.333 0.667 0.156
Sr 0.333 0.667 0.344
Sr 0.667 0.333 0.656
Sr 0.667 0.333 0.844
Ca 0.000 0.500 0.000
Ca 0.000 0.500 0.500
Ca 0.164 0.329 0.750
Ca 0.164 0.836 0.750
Ca 0.329 0.164 0.250
Ca 0.333 0.667 0.626
Ca 0.333 0.667 0.874
Ca 0.500 0.000 0.000
Ca 0.500 0.000 0.500
Ca 0.500 0.500 0.000
Ca 0.500 0.500 0.500
Ca 0.667 0.333 0.126
Ca 0.667 0.333 0.374
Ca 0.671 0.836 0.750
Ca 0.836 0.164 0.250
Ca 0.836 0.671 0.250

Results
The value obtained for the electronic total energy is -5.60 eV/f.u. The spin magnetization is 0.00 μB per cell. The distance to the lowest polymorph of the same formula comes out at 0.015 eV per atom. The calculation puts the formation energy at 0.029 eV/atom. The calculation puts the density at 1.9 g cm⁻³.



# 8
Dy4HgPt | GGA-PBE | optimized geometry

Cell lengths 9.641, 9.641, 9.641 Å; angles 60.00, 60.00, 60.00 degrees
Positions (direct):
Dy 0.060 0.060 0.440
Dy 0.060 0.440 0.060
Dy 0.060 0.440 0.440
Dy 0.186 0.186 0.814
Dy 0.186 0.605 0.605
Dy 0.186 0.814 0.186
Dy 0.186 0.814 0.814
Dy 0.440 0.060 0.060
Dy 0.440 0.060 0.440
Dy 0.440 0.440 0.060
Dy 0.605 0.186 0.605
Dy 0.605 0.605 0.186
Dy 0.605 0.605 0.605
Dy 0.814 0.186 0.186
Dy 0.814 0.186 0.814
Dy 0.814 0.814 0.186
Hg 0.490 0.837 0.837
Hg 0.837 0.490 0.837
Hg 0.837 0.837 0.490
Hg 0.837 0.837 0.837
Pt 0.394 0.394 0.394
Pt 0.394 0.394 0.818
Pt 0.394 0.818 0.394
Pt 0.818 0.394 0.394

Results
The value obtained for the electronic total energy is -28.75 eV/f.u. The spin magnetization is 0.00 μB per cell. The distance to the lowest polymorph of the same formula comes out at 0.000 eV per atom. The calculation puts the formation energy at -0.666 eV/atom. The calculation puts the density at 11.0 g cm⁻³.



# 9
Tl2FeAg | GGA-PBE | optimized geometry

Cell lengths 6.779, 6.779, 6.779 Å; angles 90.00, 90.00, 90.00 degrees
Positions (direct):
Tl 0.250 0.250 0.250
Tl 0.250 0.250 0.750
Tl 0.250 0.750 0.250
Tl 0.250 0.750 0.750
Tl 0.750 0.250 0.250
Tl 0.750 0.250 0.750
Tl 0.750 0.750 0.250
Tl 0.750 0.750 0.750
Fe 0.000 0.000 0.000
Fe 0.000 0.500 0.500
Fe 0.500 0.000 0.500
Fe 0.500 0.500 0.000
Ag 0.000 0.000 0.500
Ag 0.000 0.500 0.000
Ag 0.500 0.000 0.000
Ag 0.500 0.500 0.500

Results
The value obtained for the electronic total energy is -13.22 eV/f.u. The spin magnetization is 0.00 μB per cell. The distance to the lowest polymorph of the same formula comes out at 0.297 eV per atom. The calculation puts the formation energy at 0.707 eV/atom. The calculation puts the density at 12.2 g cm⁻³.



# 10
Er3Ga3Ru2 | GGA-PBE | optimized geometry

Cell lengths 5.522, 5.522, 14.432 Å; angles 90.00, 90.00, 133.09 degrees
Positions (direct):
Er 0.088 0.912 0.608
Er 0.088 0.912 0.892
Er 0.377 0.623 0.750
Er 0.623 0.377 0.250
Er 0.912 0.088 0.108
Er 0.912 0.088 0.392
Ga 0.320 0.680 0.250
Ga 0.386 0.614 0.545
Ga 0.386 0.614 0.955
Ga 0.614 0.386 0.045
Ga 0.614 0.386 0.455
Ga 0.680 0.320 0.750
Ru 0.216 0.784 0.086
Ru 0.216 0.784 0.414
Ru 0.784 0.216 0.586
Ru 0.784 0.216 0.914

Results
The value obtained for the electronic total energy is -46.08 eV/f.u. The spin magnetization is 0.00 μB per cell. The calculation puts the formation energy at -0.594 eV/atom. The calculation puts the density at 9.4 g cm⁻³.



# 11
Ac2TbPm5Sm | GGA-PBE | optimized geometry

Cell lengths 10.706, 10.706, 11.015 Å; angles 90.00, 90.00, 148.30 degrees
Positions (direct):
Ac 0.112 0.888 0.500
Ac 0.119 0.881 0.089
Ac 0.881 0.119 0.589
Ac 0.888 0.112 0.000
Tb 0.410 0.590 0.231
Tb 0.590 0.410 0.731
Pm 0.020 0.980 0.793
Pm 0.284 0.716 0.073
Pm 0.296 0.704 0.467
Pm 0.395 0.605 0.791
Pm 0.480 0.520 0.509
Pm 0.520 0.480 0.009
Pm 0.605 0.395 0.291
Pm 0.704 0.296 0.967
Pm 0.716 0.284 0.573
Pm 0.980 0.020 0.293
Sm 0.207 0.793 0.774
Sm 0.793 0.207 0.274

Results
The value obtained for the electronic total energy is -40.09 eV/f.u. The spin magnetization is 0.00 μB per cell. The calculation puts the formation energy at 0.136 eV/atom. The calculation puts the density at 7.5 g cm⁻³.



# 12
MgGeP2 | GGA-PBE | optimized geometry

Cell lengths 3.888, 3.888, 5.946 Å; angles 90.00, 90.00, 90.00 degrees
Positions (direct):
Mg 0.000 0.000 0.000
Ge 0.500 0.500 0.500
P 0.000 0.500 0.268
P 0.500 0.000 0.732

Results
The value obtained for the electronic total energy is -18.01 eV/f.u. The spin magnetization is 0.00 μB per cell. The distance to the lowest polymorph of the same formula comes out at 0.065 eV per atom. The calculation puts the formation energy at -0.245 eV/atom. The calculation puts the density at 2.9 g cm⁻³.



# 13
SiTc2Sn | GGA-PBE | optimized geometry

Cell lengths 4.069, 4.069, 17.806 Å; angles 90.00, 90.00, 90.00 degrees
Positions (direct):
Si 0.000 0.000 0.000
Si 0.000 0.500 0.250
Si 0.500 0.000 0.750
Si 0.500 0.500 0.500
Tc 0.163 0.250 0.125
Tc 0.250 0.663 0.375
Tc 0.250 0.837 0.875
Tc 0.337 0.250 0.625
Tc 0.663 0.750 0.625
Tc 0.750 0.163 0.875
Tc 0.750 0.337 0.375
Tc 0.837 0.750 0.125
Sn 0.000 0.000 0.500
Sn 0.000 0.500 0.750
Sn 0.500 0.000 0.250
Sn 0.500 0.500 0.000

Results
The value obtained for the electronic total energy is -28.53 eV/f.u. The spin magnetization is 0.00 μB per cell. The distance to the lowest polymorph of the same formula comes out at 0.501 eV per atom. As for the uncorrected formation energy: 407 meV per atom. The calculation puts the density at 7.7 g cm⁻³.



# 14
MgAl4Ni | GGA-PBE | optimized geometry

Cell lengths 7.738, 3.889, 6.579 Å; angles 90.00, 90.00, 90.00 degrees
Positions (direct):
Mg 0.250 0.000 0.094
Mg 0.750 0.000 0.906
Al 0.000 0.000 0.500
Al 0.061 0.500 0.806
Al 0.250 0.500 0.439
Al 0.439 0.500 0.806
Al 0.500 0.000 0.500
Al 0.561 0.500 0.194
Al 0.750 0.500 0.561
Al 0.939 0.500 0.194
Ni 0.250 0.000 0.700
Ni 0.750 0.000 0.300

Results
The value obtained for the electronic total energy is -24.01 eV/f.u. The spin magnetization is 0.00 μB per cell. The calculation puts the formation energy at -0.278 eV/atom. The calculation puts the density at 3.2 g cm⁻³.



# 15
BaAgTe2 | GGA-PBE | optimized geometry

Cell lengths 7.025, 8.245, 4.409 Å; angles 90.00, 90.00, 90.00 degrees
Positions (direct):
Ba 0.000 0.000 0.000
Ba 0.500 0.500 0.000
Ag 0.000 0.500 0.000
Ag 0.500 0.000 0.000
Te 0.250 0.250 0.500
Te 0.250 0.750 0.500
Te 0.750 0.250 0.500
Te 0.750 0.750 0.500

Results
The value obtained for the electronic total energy is -13.65 eV/f.u. The spin magnetization is 0.00 μB per cell. As for the uncorrected formation energy: -647 meV per atom. The calculation puts the density at 6.5 g cm⁻³.



# 16
CoBW2 | GGA-PBE | optimized geometry

Cell lengths 5.377, 5.093, 5.086 Å; angles 63.77, 58.18, 58.05 degrees
Positions (direct):
Co 0.175 0.175 0.825
Co 0.825 0.825 0.175
B 0.223 0.777 0.223
B 0.777 0.223 0.777
W 0.250 0.250 0.250
W 0.308 0.692 0.692
W 0.692 0.308 0.308
W 0.750 0.750 0.750

Results
The value obtained for the electronic total energy is -38.98 eV/f.u. The spin magnetization is 0.00 μB per cell. The calculation puts the formation energy at 0.177 eV/atom. The calculation puts the density at 14.9 g cm⁻³.



# 17
Zr4SiBr | GGA-PBE | optimized geometry

Cell lengths 5.767, 5.767, 5.767 Å; angles 60.00, 60.00, 60.00 degrees
Positions (direct):
Zr 0.377 0.377 0.377
Zr 0.377 0.377 0.869
Zr 0.377 0.869 0.377
Zr 0.869 0.377 0.377
Si 0.750 0.750 0.750
Br 0.000 0.000 0.000

Results
The value obtained for the electronic total energy is -38.83 eV/f.u. The spin magnetization is 0.00 μB per cell. As for the uncorrected formation energy: 409 meV per atom. The calculation puts the density at 5.8 g cm⁻³.



# 18
PaCo4B2 | GGA-PBE | optimized geometry

Cell lengths 14.899, 3.485, 5.990 Å; angles 90.00, 90.00, 90.00 degrees
Positions (direct):
Pa 0.113 0.250 0.028
Pa 0.387 0.750 0.528
Pa 0.613 0.250 0.472
Pa 0.887 0.750 0.972
Co 0.034 0.750 0.300
Co 0.104 0.250 0.525
Co 0.188 0.750 0.733
Co 0.200 0.750 0.336
Co 0.300 0.250 0.836
Co 0.312 0.250 0.233
Co 0.396 0.750 0.025
Co 0.466 0.250 0.800
Co 0.534 0.750 0.200
Co 0.604 0.250 0.975
Co 0.688 0.750 0.767
Co 0.700 0.750 0.164
Co 0.800 0.250 0.664
Co 0.812 0.250 0.267
Co 0.896 0.750 0.475
Co 0.966 0.250 0.700
B 0.047 0.750 0.666
B 0.237 0.250 0.532
B 0.263 0.750 0.032
B 0.453 0.250 0.166
B 0.547 0.750 0.834
B 0.737 0.250 0.968
B 0.763 0.750 0.468
B 0.953 0.250 0.334

Results
The value obtained for the electronic total energy is -53.96 eV/f.u. The spin magnetization is 0.00 μB per cell. The distance to the lowest polymorph of the same formula comes out at 0.000 eV per atom. The calculation puts the formation energy at -0.384 eV/atom. The calculation puts the density at 10.4 g cm⁻³.



# 19
ZnCd2InHg8 | GGA-PBE | optimized geometry

Cell lengths 6.443, 6.443, 8.804 Å; angles 90.00, 90.00, 120.00 degrees
Positions (direct):
Zn 0.000 0.000 0.000
Cd 0.333 0.667 0.903
Cd 0.667 0.333 0.097
In 0.000 0.000 0.500
Hg 0.175 0.349 0.225
Hg 0.175 0.825 0.225
Hg 0.333 0.667 0.554
Hg 0.349 0.175 0.775
Hg 0.651 0.825 0.225
Hg 0.667 0.333 0.446
Hg 0.825 0.175 0.775
Hg 0.825 0.651 0.775

Results
The value obtained for the electronic total energy is -7.28 eV/f.u. The spin magnetization is 0.00 μB per cell. The calculation puts the formation energy at 0.081 eV/atom. The calculation puts the density at 10.5 g cm⁻³.



# 20
Ca2IrBrCl | GGA-PBE | optimized geometry

Cell lengths 5.219, 5.219, 5.733 Å; angles 90.00, 90.00, 90.00 degrees
Positions (direct):
Ca 0.000 0.500 0.000
Ca 0.500 0.000 0.000
Ir 0.000 0.000 0.500
Br 0.500 0.500 0.500
Cl 0.500 0.500 0.000

Results
The value obtained for the electronic total energy is -16.11 eV/f.u. The spin magnetization is 1.63 μB per cell. The distance to the lowest polymorph of the same formula comes out at 0.724 eV per atom. As for the uncorrected formation energy: 55 meV per atom. The calculation puts the density at 4.1 g cm⁻³.



# 21
Ho2Ag3Hg4 | GGA-PBE | optimized geometry

Cell lengths 4.934, 4.934, 9.356 Å; angles 90.00, 90.00, 120.00 degrees
Positions (direct):
Ho 0.333 0.667 0.270
Ho 0.667 0.333 0.730
Ag 0.000 0.000 0.500
Ag 0.333 0.667 0.931
Ag 0.667 0.333 0.069
Hg 0.000 0.000 0.155
Hg 0.000 0.000 0.845
Hg 0.333 0.667 0.602
Hg 0.667 0.333 0.398

Results
The value obtained for the electronic total energy is -21.30 eV/f.u. The spin magnetization is 0.00 μB per cell. The distance to the lowest polymorph of the same formula comes out at 0.000 eV per atom. The calculation puts the formation energy at -0.264 eV/atom. The calculation puts the density at 12.3 g cm⁻³.



# 22
Pu2Ag5O12 | GGA-PBE | optimized geometry

Cell lengths 6.445, 6.445, 9.033 Å; angles 107.60, 107.60, 61.88 degrees
Positions (direct):
Pu 0.248 0.752 0.000
Pu 0.752 0.248 0.000
Ag 0.000 0.000 0.500
Ag 0.284 0.284 0.541
Ag 0.328 0.328 0.253
Ag 0.672 0.672 0.747
Ag 0.716 0.716 0.459
O 0.024 0.024 0.873
O 0.075 0.578 0.883
O 0.081 0.629 0.456
O 0.371 0.919 0.544
O 0.422 0.925 0.117
O 0.476 0.476 0.133
O 0.524 0.524 0.867
O 0.578 0.075 0.883
O 0.629 0.081 0.456
O 0.919 0.371 0.544
O 0.925 0.422 0.117
O 0.976 0.976 0.127

Results
The value obtained for the electronic total energy is -120.46 eV/f.u. The spin magnetization is 1.88 μB per cell. As for the uncorrected formation energy: -949 meV per atom. The calculation puts the density at 6.5 g cm⁻³.